! Nd3SmS4 PBE relaxed; values from VASP
! Energy relative to the elements, uncorrected, eV/f.u.: -16.11
! Energy, eV for the cell shown: -51.644
&SYSTEM
  ibrav = 0, nat = 8, ntyp = 3
/
ATOMIC_SPECIES
Nd 144.24 Nd.upf
Sm 150.36 Sm.upf
S 32.06 S.upf
ATOMIC_POSITIONS crystal
Nd 0.000 0.500 0.500
Nd 0.500 0.000 0.500
Nd 0.500 0.500 0.000
Sm 0.000 0.000 0.000
S 0.500 0.000 0.000
S 0.000 0.500 0.000
S 0.000 0.000 0.500
S 0.500 0.500 0.500
CELL_PARAMETERS angstrom
5.736 0.000 0.000
0.000 5.736 0.000
0.000 0.000 5.736


! K2Te2Pb PBE relaxed; values from VASP
! Energy relative to the elements, uncorrected, eV/f.u.: -3.79
! Energy, eV for the cell shown: -31.944
&SYSTEM
  ibrav = 0, nat = 10, ntyp = 3
/
ATOMIC_SPECIES
K 39.10 K.upf
Te 127.60 Te.upf
Pb 207.20 Pb.upf
ATOMIC_POSITIONS crystal
K 0.860 0.711 0.721
K 0.140 0.289 0.279
K 0.640 0.990 0.279
K 0.360 0.010 0.721
Te 0.385 0.619 0.770
Te 0.615 0.381 0.230
Te 0.115 0.849 0.230
Te 0.885 0.151 0.770
Pb 0.750 0.500 0.000
Pb 0.250 0.500 0.000
CELL_PARAMETERS angstrom
-5.658 4.611 -1.621
0.820 -1.898 -8.261
-2.098 -6.629 5.704


! HgOs2Ru PBE relaxed; values from VASP
! Energy relative to the elements, eV per formula unit: 2.29
! Energy, eV for the cell shown: -29.751
&SYSTEM
  ibrav = 0, nat = 4, ntyp = 3
/
ATOMIC_SPECIES
Hg 200.59 Hg.upf
Os 190.23 Os.upf
Ru 101.07 Ru.upf
ATOMIC_POSITIONS crystal
Hg 0.500 0.753 0.747
Os 0.000 0.960 0.038
Os 0.500 0.259 0.242
Ru 0.000 0.528 0.473
CELL_PARAMETERS angstrom
3.835 0.000 0.000
0.000 2.779 0.005
0.000 2.767 5.965


! AgOF3 PBE relaxed; values from VASP
! Energy relative to the elements, uncorrected, eV/f.u.: -1.01
! Energy, eV for the cell shown: -14.433
&SYSTEM
  ibrav = 0, nat = 5, ntyp = 3
/
ATOMIC_SPECIES
O 16.00 O.upf
Ag 107.87 Ag.upf
F 19.00 F.upf
ATOMIC_POSITIONS crystal
O 0.500 0.500 0.500
Ag 0.000 0.000 0.000
F 0.000 0.500 0.000
F 0.000 0.000 0.500
F 0.500 0.000 0.000
CELL_PARAMETERS angstrom
-1.350 3.364 2.123
1.563 -1.614 3.550
3.659 1.931 -0.733


! Rb2NbSnS4 PBE relaxed; values from VASP
! Energy relative to the elements, uncorrected, eV/f.u.: -7.07
! Energy, eV for the cell shown: -39.592
&SYSTEM
  ibrav = 0, nat = 8, ntyp = 4
/
ATOMIC_SPECIES
Rb 85.47 Rb.upf
Nb 92.91 Nb.upf
Sn 118.71 Sn.upf
S 32.06 S.upf
ATOMIC_POSITIONS crystal
Rb 0.500 0.750 0.250
Rb 0.000 0.000 0.000
Nb 0.000 0.500 0.500
Sn 0.500 0.250 0.750
S 0.659 0.458 0.505
S 0.048 0.202 0.542
S 0.952 0.495 0.154
S 0.341 0.846 0.798
CELL_PARAMETERS angstrom
-3.972 0.360 5.763
-3.953 0.361 -5.776
3.440 -6.100 -0.277


! ReTcAg PBE relaxed; values from VASP
! Energy relative to the elements, eV per formula unit: 0.78
! Energy, eV for the cell shown: -24.889
&SYSTEM
  ibrav = 0, nat = 3, ntyp = 3
/
ATOMIC_SPECIES
Ag 107.87 Ag.upf
Re 186.21 Re.upf
Tc 98.00 Tc.upf
ATOMIC_POSITIONS crystal
Ag 0.000 0.000 0.999
Re 0.667 0.333 0.355
Tc 0.333 0.667 0.646
CELL_PARAMETERS angstrom
2.782 0.000 0.000
-1.391 2.410 0.000
0.000 0.000 7.070


! BeZnC3 PBE relaxed; values from VASP
! Energy relative to the elements, eV per formula unit: 11.63
! Energy, eV for the cell shown: -21.038
&SYSTEM
  ibrav = 0, nat = 5, ntyp = 3
/
ATOMIC_SPECIES
Be 9.01 Be.upf
Zn 65.41 Zn.upf
C 12.01 C.upf
ATOMIC_POSITIONS crystal
Be 0.000 0.000 0.000
Zn 0.500 0.500 0.500
C 0.000 0.500 0.000
C 0.000 0.000 0.500
C 0.500 0.000 0.000
CELL_PARAMETERS angstrom
3.616 0.000 0.000
0.000 3.616 0.000
0.000 0.000 3.616


! Tb2Zn5Ni3 PBE relaxed; values from VASP
! Energy relative to the elements, eV per formula unit: -3.13
! Energy, eV for the cell shown: -36.099
&SYSTEM
  ibrav = 0, nat = 10, ntyp = 3
/
ATOMIC_SPECIES
Tb 158.93 Tb.upf
Zn 65.41 Zn.upf
Ni 58.69 Ni.upf
ATOMIC_POSITIONS crystal
Tb 0.500 0.000 0.277
Tb 0.000 0.500 0.723
Zn 0.500 0.500 0.000
Zn 0.000 0.000 0.000
Zn 0.500 0.000 0.846
Zn 0.000 0.500 0.154
Zn 0.500 0.500 0.500
Ni 0.500 0.000 0.634
Ni 0.000 0.500 0.366
Ni 0.000 0.000 0.500
CELL_PARAMETERS angstrom
-2.395 -3.012 0.336
2.753 -2.341 -1.365
3.706 -1.775 10.519